[1]
## Te2IrN (PBE-GGA)

Data for Te2IrN after structural relaxation.

Cell lengths 5.5775, 5.5775, 11.4611 Å; angles 90.00, 90.00, 90.00 degrees
With the nearest neighbours (Å) after each atom.
Space group I-42d (No. 122)
Symmetry-distinct sites (fractional):
Te1 0.2170 0.2500 0.1250 [8 per cell]  2 N 2.34, 2 Ir 2.55
Ir1 0.0000 0.0000 0.5000 [4 per cell]  4 Te 2.55
N1 0.0000 0.0000 0.0000 [4 per cell]  4 Te 2.34

Summary:
DFT total energy (eV/atom): -5.17
D(E_F) (states/eV/f.u.): 0.81
Formation energy from raw total energies (eV/f.u.): 2.80

[2]
## Sc3TeI (PBE-GGA)

Data for Sc3TeI after structural relaxation.

Cell lengths 5.4225, 5.4225, 5.4225 Å; angles 90.00, 90.00, 90.00 degrees
With the nearest neighbours (Å) after each atom.
Space group Pm-3m (No. 221)
Symmetry-distinct sites (fractional):
Sc1 0.0000 0.0000 0.5000 [3 per cell]  2 Te 2.71
Te1 0.0000 0.0000 0.0000 [1 per cell]  6 Sc 2.71
I1 0.5000 0.5000 0.5000 [1 per cell]  12 Sc 3.83

Summary:
DFT total energy (eV/atom): -4.64
Distance to the lowest polymorph of the same formula (meV per atom): 0
D(E_F) (states/eV/f.u.): 8.56
Formation energy from raw total energies (eV/f.u.): 0.48

[3]
## CeZrPdRu (PBE-GGA)

Data for CeZrPdRu after structural relaxation.

Cell lengths 6.8204, 6.8204, 6.8204 Å; angles 90.00, 90.00, 90.00 degrees
With the nearest neighbours (Å) after each atom.
Space group F-43m (No. 216)
Symmetry-distinct sites (fractional):
Ce1 0.0000 0.0000 0.0000 [4 per cell]  4 Ru 2.95, 4 Pd 2.95
Zr1 0.0000 0.0000 0.5000 [4 per cell]  4 Pd 2.95, 4 Ru 2.95
Pd1 0.2500 0.2500 0.2500 [4 per cell]  4 Zr 2.95, 4 Ce 2.95
Ru1 0.2500 0.2500 0.7500 [4 per cell]  4 Zr 2.95, 4 Ce 2.95

Summary:
DFT total energy (eV/atom): -7.67
Energy of formation from the pure elements (eV/atom): -0.43
D(E_F) (states/eV/f.u.): 7.83

[4]
## CaFe3Os (PBE-GGA)

Data for CaFe3Os after structural relaxation.

Cell lengths 4.1793, 4.1793, 4.1793 Å; angles 90.00, 90.00, 90.00 degrees
With the nearest neighbours (Å) after each atom.
Space group Pm-3m (No. 221)
Symmetry-distinct sites (fractional):
Ca1 0.0000 0.0000 0.0000 [1 per cell]  6 Fe 2.09
Fe1 0.0000 0.0000 0.5000 [3 per cell]  2 Ca 2.09
Os1 0.5000 0.5000 0.5000 [1 per cell]  12 Fe 2.96

Summary:
DFT total energy (eV/atom): -5.09
Energy of formation from the pure elements (eV/atom): 2.63
Distance to the lowest polymorph of the same formula (meV per atom): 1721
D(E_F) (states/eV/f.u.): 13.99

[5]
## NdPd9Pt3 (PBE-GGA)

Data for NdPd9Pt3 after structural relaxation.

Cell lengths 5.3099, 12.9356, 6.9686 Å; angles 90.00, 112.13, 90.00 degrees
With the nearest neighbours (Å) after each atom.
Space group C2/m (No. 12)
Symmetry-distinct sites (fractional):
Nd1 0.0000 0.0000 0.0000 [2 per cell]  14 Pd 3.18-3.50, 6 Pt 3.48-3.50
Pd1 0.0000 0.5000 0.5000 [2 per cell]  8 Pd 2.65-2.80, 2 Pt 2.65
Pd2 0.1097 0.3908 0.2188 [8 per cell]  7 Pd 2.65-2.93, 3 Pt 2.66
Pd3 0.1705 0.1740 0.3482 [8 per cell]  6 Pd 2.78-2.93, 3 Pt 2.78-2.79
Pt1 0.0000 0.0000 0.5000 [2 per cell]  10 Pd 2.65-2.78
Pt2 0.2500 0.2500 0.0000 [4 per cell]  2 Pt 2.65, 8 Pd 2.66-2.79

Summary:
DFT total energy (eV/atom): -5.63
Energy of formation from the pure elements (eV/atom): -0.27
D(E_F) (states/eV/f.u.): 16.83

[6]
## BaLiYSe3 (PBE-GGA)

Data for BaLiYSe3 after structural relaxation.

Cell lengths 8.8811, 4.2613, 9.3145 Å; angles 90.00, 105.27, 90.00 degrees
With the nearest neighbours (Å) after each atom.
Space group P2_1/m (No. 11)
Symmetry-distinct sites (fractional):
Ba1 0.1952 0.2500 0.2438 [2 per cell]  7 Se 3.33-3.42, 1 Li 3.62
Li1 0.0859 0.2500 0.5916 [2 per cell]  4 Se 2.53-2.57
Y1 0.3282 0.7500 0.8414 [2 per cell]  6 Se 2.86-2.91
Se1 0.1150 0.2500 0.8688 [2 per cell]  1 Li 2.53
Se2 0.2109 0.7500 0.5248 [2 per cell]  3 Li 2.55-2.57, 1 Y 2.86
Se3 0.4500 0.7500 0.1636 [2 per cell]  3 Y 2.91

Summary:
DFT total energy (eV/atom): -5.28
D(E_F) (states/eV/f.u.): 0.00
Formation energy from raw total energies (eV/f.u.): -10.92

| no. | total moment (μB per cell) | calculated density (Mg/m³) |
| --- | --- | --- |
| 1 | 0.00 | 8.60 |
| 2 | 3.26 | 4.06 |
| 3 | 3.05 | 9.19 |
| 4 | 0.00 | 9.05 |
| 5 | 0.00 | 12.64 |
| 6 | 0.00 | 4.59 |